Material: Pm2Pu2Ge3
Method: DFT, PBE
State: relaxed Values from VASP.

```
&SYSTEM
  ibrav = 0, nat = 14, ntyp = 3
/
ATOMIC_SPECIES
Pm 145.00 Pm.upf
Pu 244.00 Pu.upf
Ge 72.64 Ge.upf
ATOMIC_POSITIONS crystal
Pm 0.1128 0.0000 0.2974
Pm 0.3872 0.5000 0.7026
Pm 0.6128 0.5000 0.2974
Pm 0.8872 0.0000 0.7026
Pu 0.1811 0.5000 0.9703
Pu 0.3189 0.0000 0.0297
Pu 0.6811 0.0000 0.9703
Pu 0.8189 0.5000 0.0297
Ge 0.0000 0.5000 0.5000
Ge 0.1665 0.0000 0.6841
Ge 0.3335 0.5000 0.3159
Ge 0.5000 0.0000 0.5000
Ge 0.6665 0.5000 0.6841
Ge 0.8335 0.0000 0.3159
CELL_PARAMETERS angstrom
11.1245 0.0000 0.0000
0.0000 3.7615 0.0000
-3.0302 0.0000 7.8793
```

Computed properties:
Its formation enthalpy at 0 K is -0.237 eV/atom. As for the calculated volume: 329.7 Å³/cell. Its mass density is 10.0 g/cm³. Its space group is No. 12. The value obtained for the magnetic moment is 2.35 μB per formula unit. The calculation puts the total DFT energy (no corrections) at -7.67 eV per atom.



Material: PmPu5Ge4
Method: DFT, PBE
State: relaxed Values from VASP.

```
&SYSTEM
  ibrav = 0, nat = 10, ntyp = 3
/
ATOMIC_SPECIES
Pm 145.00 Pm.upf
Pu 244.00 Pu.upf
Ge 72.64 Ge.upf
ATOMIC_POSITIONS crystal
Pm 0.0000 0.0000 0.0000
Pu 0.5000 0.5000 0.1323
Pu 0.5000 0.5000 0.3145
Pu 0.5000 0.5000 0.5000
Pu 0.5000 0.5000 0.6855
Pu 0.5000 0.5000 0.8677
Ge 0.0000 0.0000 0.2152
Ge 0.0000 0.0000 0.4057
Ge 0.0000 0.0000 0.5943
Ge 0.0000 0.0000 0.7848
CELL_PARAMETERS angstrom
3.8823 0.0000 0.0000
0.0000 3.8823 0.0000
0.0000 0.0000 15.3185
```

Computed properties:
Its formation enthalpy at 0 K is -0.330 eV/atom. As for the calculated volume: 230.9 Å³/cell. Its mass density is 11.9 g/cm³. Its space group is No. 123. The value obtained for the magnetic moment is 26.91 μB per formula unit. The calculation puts the total DFT energy (no corrections) at -9.82 eV per atom.



Material: Pm2PuGe6
Method: DFT, PBE
State: relaxed Values from VASP.

```
&SYSTEM
  ibrav = 0, nat = 9, ntyp = 3
/
ATOMIC_SPECIES
Pm 145.00 Pm.upf
Pu 244.00 Pu.upf
Ge 72.64 Ge.upf
ATOMIC_POSITIONS crystal
Pm 0.1267 0.1267 0.0000
Pm 0.8733 0.8733 0.0000
Pu 0.5000 0.0000 0.5000
Ge 0.0926 0.3093 0.7834
Ge 0.2186 0.5000 0.7186
Ge 0.4741 0.6907 0.7834
Ge 0.5259 0.3093 0.2166
Ge 0.7814 0.5000 0.2814
Ge 0.9074 0.6907 0.2166
CELL_PARAMETERS angstrom
-2.0146 4.0324 6.7463
2.0146 -4.0324 6.7463
2.0146 4.0324 -6.7463
```

Computed properties:
Its formation enthalpy at 0 K is -0.323 eV/atom. As for the calculated volume: 219.2 Å³/cell. Its mass density is 7.3 g/cm³. Its space group is No. 71. The value obtained for the magnetic moment is 5.49 μB per formula unit. The calculation puts the total DFT energy (no corrections) at -6.05 eV per atom.



Material: Pm2PuGe
Method: DFT, PBE
State: relaxed Values from VASP.

```
&SYSTEM
  ibrav = 0, nat = 16, ntyp = 3
/
ATOMIC_SPECIES
Pm 145.00 Pm.upf
Pu 244.00 Pu.upf
Ge 72.64 Ge.upf
ATOMIC_POSITIONS crystal
Pm 0.2500 0.2500 0.2500
Pm 0.2500 0.2500 0.7500
Pm 0.2500 0.7500 0.2500
Pm 0.2500 0.7500 0.7500
Pm 0.7500 0.2500 0.2500
Pm 0.7500 0.2500 0.7500
Pm 0.7500 0.7500 0.2500
Pm 0.7500 0.7500 0.7500
Pu 0.0000 0.0000 0.0000
Pu 0.0000 0.5000 0.5000
Pu 0.5000 0.0000 0.5000
Pu 0.5000 0.5000 0.0000
Ge 0.0000 0.0000 0.5000
Ge 0.0000 0.5000 0.0000
Ge 0.5000 0.0000 0.0000
Ge 0.5000 0.5000 0.5000
CELL_PARAMETERS angstrom
7.5344 0.0000 0.0000
0.0000 7.5344 0.0000
0.0000 0.0000 7.5344
```

Computed properties:
Its formation enthalpy at 0 K is -0.068 eV/atom. As for the calculated volume: 427.7 Å³/cell. Its mass density is 9.4 g/cm³. Its energy above the most stable polymorph in this dataset is 0.194 eV/atom. Its space group is No. 225. The value obtained for the magnetic moment is 6.78 μB per formula unit. The calculation puts the total DFT energy (no corrections) at -7.18 eV per atom.



Material: Pm4PuGe4
Method: DFT, PBE
State: relaxed Values from VASP.

```
&SYSTEM
  ibrav = 0, nat = 18, ntyp = 3
/
ATOMIC_SPECIES
Pm 145.00 Pm.upf
Pu 244.00 Pu.upf
Ge 72.64 Ge.upf
ATOMIC_POSITIONS crystal
Pm 0.0413 0.6734 0.1188
Pm 0.1734 0.9587 0.6188
Pm 0.3266 0.5413 0.6188
Pm 0.4587 0.8266 0.1188
Pm 0.5413 0.1734 0.8812
Pm 0.6734 0.4587 0.3812
Pm 0.8266 0.0413 0.3812
Pm 0.9587 0.3266 0.8812
Pu 0.2500 0.2500 0.2500
Pu 0.7500 0.7500 0.7500
Ge 0.0175 0.6302 0.6103
Ge 0.1302 0.9825 0.1103
Ge 0.3698 0.5175 0.1103
Ge 0.4825 0.8698 0.6103
Ge 0.5175 0.1302 0.3897
Ge 0.6302 0.4825 0.8897
Ge 0.8698 0.0175 0.8897
Ge 0.9825 0.3698 0.3897
CELL_PARAMETERS angstrom
9.0833 0.0000 0.0000
0.0000 9.0833 0.0000
0.0000 0.0000 6.0202
```

Computed properties:
Its formation enthalpy at 0 K is -0.503 eV/atom. As for the calculated volume: 496.7 Å³/cell. Its mass density is 7.5 g/cm³. Its space group is No. 86. The value obtained for the magnetic moment is 6.33 μB per formula unit. The calculation puts the total DFT energy (no corrections) at -6.26 eV per atom.



Material: Pm5PuGe6
Method: DFT, PBE
State: relaxed Values from VASP.

```
&SYSTEM
  ibrav = 0, nat = 12, ntyp = 3
/
ATOMIC_SPECIES
Pm 145.00 Pm.upf
Pu 244.00 Pu.upf
Ge 72.64 Ge.upf
ATOMIC_POSITIONS crystal
Pm 0.0000 0.0000 0.0000
Pm 0.1662 0.8338 0.5000
Pm 0.3279 0.6721 0.0000
Pm 0.6721 0.3279 0.0000
Pm 0.8338 0.1662 0.5000
Pu 0.5000 0.5000 0.5000
Ge 0.1003 0.4207 0.2590
Ge 0.2640 0.2640 0.7427
Ge 0.4207 0.1003 0.2590
Ge 0.5793 0.8997 0.7410
Ge 0.7360 0.7360 0.2573
Ge 0.8997 0.5793 0.7410
CELL_PARAMETERS angstrom
3.6885 -6.4254 0.0000
3.6885 6.4254 0.0000
-2.4910 0.0000 6.8311
```

Computed properties:
Its formation enthalpy at 0 K is -0.602 eV/atom. As for the calculated volume: 323.8 Å³/cell. Its mass density is 7.2 g/cm³. Its space group is No. 12. The value obtained for the magnetic moment is 4.55 μB per formula unit. The calculation puts the total DFT energy (no corrections) at -6.08 eV per atom.



Material: Pm4Pu3Ge5
Method: DFT, PBE
State: relaxed Values from VASP.

```
&SYSTEM
  ibrav = 0, nat = 12, ntyp = 3
/
ATOMIC_SPECIES
Pm 145.00 Pm.upf
Pu 244.00 Pu.upf
Ge 72.64 Ge.upf
ATOMIC_POSITIONS crystal
Pm 0.0934 0.0934 0.2556
Pm 0.1545 0.1545 0.5969
Pm 0.8455 0.8455 0.4031
Pm 0.9066 0.9066 0.7444
Pu 0.2490 0.2490 0.9368
Pu 0.5000 0.5000 0.0000
Pu 0.7510 0.7510 0.0632
Ge 0.0000 0.0000 0.0000
Ge 0.3688 0.3688 0.2207
Ge 0.4336 0.4336 0.5830
Ge 0.5664 0.5664 0.4170
Ge 0.6312 0.6312 0.7793
CELL_PARAMETERS angstrom
5.3329 -2.5121 0.0000
5.3329 2.5121 0.0000
-2.9058 0.0000 11.1055
```

Computed properties:
Its formation enthalpy at 0 K is -0.374 eV/atom. As for the calculated volume: 297.6 Å³/cell. Its mass density is 9.3 g/cm³. Its space group is No. 12. The value obtained for the magnetic moment is 5.18 μB per formula unit. The calculation puts the total DFT energy (no corrections) at -7.46 eV per atom.



Material: Pm2Pu2Ge7
Method: DFT, PBE
State: relaxed Values from VASP.

```
&SYSTEM
  ibrav = 0, nat = 11, ntyp = 3
/
ATOMIC_SPECIES
Pm 145.00 Pm.upf
Pu 244.00 Pu.upf
Ge 72.64 Ge.upf
ATOMIC_POSITIONS crystal
Pm 0.2042 0.7958 0.0000
Pm 0.7958 0.2042 0.0000
Pu 0.2346 0.2346 0.7044
Pu 0.7654 0.7654 0.2956
Ge 0.0000 0.0000 0.5000
Ge 0.1023 0.5025 0.2903
Ge 0.4405 0.4405 0.2114
Ge 0.4975 0.8977 0.7097
Ge 0.5025 0.1023 0.2903
Ge 0.5595 0.5595 0.7886
Ge 0.8977 0.4975 0.7097
CELL_PARAMETERS angstrom
6.2205 -5.2409 0.0000
6.2205 5.2409 0.0000
-1.2464 0.0000 3.9566
```

Computed properties:
Its formation enthalpy at 0 K is -0.427 eV/atom. As for the calculated volume: 258.0 Å³/cell. Its mass density is 8.3 g/cm³. Its space group is No. 12. The value obtained for the magnetic moment is 10.59 μB per formula unit. The calculation puts the total DFT energy (no corrections) at -6.84 eV per atom.